Pm4TcAu (GGA-PBE, relaxed); spin magnetization = 0.000 Bohr magnetons per cell; electronic total energy = -68.764 eV for the cell shown; symmetry = No. 15; formation energy = -0.29 eV per atom
1.0
4.590 -6.592 0.000
4.590 6.592 0.000
-3.187 0.000 5.607
Pm Tc Au
8 2 2
direct
0.059 0.711 0.918
0.220 0.361 0.693
0.289 0.941 0.582
0.361 0.220 0.193
0.639 0.780 0.807
0.711 0.059 0.418
0.780 0.639 0.307
0.941 0.289 0.082
0.003 0.997 0.250
0.997 0.003 0.750
0.371 0.629 0.250
0.629 0.371 0.750

LaPmPr5Nd2 (GGA-PBE, relaxed); spin magnetization = 0.000 Bohr magnetons per cell; electronic total energy = -81.837 eV for the cell shown; symmetry = No. 140; formation energy = 0.24 eV per atom
1.0
-4.516 4.516 8.004
4.516 -4.516 8.004
4.516 4.516 -8.004
La Pm Pr Nd
2 2 10 4
direct
0.250 0.250 0.000
0.750 0.750 0.000
0.250 0.750 0.500
0.750 0.250 0.500
0.000 0.000 0.000
0.068 0.568 0.911
0.157 0.068 0.500
0.343 0.843 0.911
0.432 0.343 0.500
0.500 0.500 0.000
0.568 0.657 0.500
0.657 0.157 0.089
0.843 0.932 0.500
0.932 0.432 0.089
0.117 0.383 0.500
0.383 0.883 0.265
0.617 0.117 0.735
0.883 0.617 0.500